# TeRhI2F

A geometry-optimized TeRhI2F structure (PBE, Alexandria via LeMat-Bulk).

Cell: 5.795 5.795 4.188 Å, 90.00 90.00 90.00°
Last column: magnetic moment on the atom in μB.
Positions (direct):
Rh: 0.500 0.500 0.500  1.54
F: 0.000 0.000 0.000  0.00
I: 0.500 0.000 0.000  0.09
I: 0.000 0.500 0.000  0.09
Te: 0.000 0.000 0.500  -0.01

***

# Te2RhIF

A geometry-optimized Te2RhIF structure (PBE, Alexandria via LeMat-Bulk).

Cell: 5.125 5.125 5.509 Å, 90.00 90.00 90.00°
Last column: magnetic moment on the atom in μB.
Positions (direct):
F: 0.500 0.500 0.500  -0.08
I: 0.000 0.000 0.500  -0.02
Te: 0.000 0.500 0.000  0.00
Te: 0.500 0.000 0.000  0.00
Rh: 0.000 0.000 0.000  -0.01

***

# Ru3IF

A geometry-optimized Ru3IF structure (PBE, Alexandria via LeMat-Bulk).

Cell: 4.906 4.906 4.906 Å, 90.00 90.00 90.00°
Last column: magnetic moment on the atom in μB.
Positions (direct):
F: 0.500 0.500 0.500  0.12
Ru: 0.000 0.000 0.500  1.45
Ru: 0.500 0.000 0.000  1.51
Ru: 0.000 0.500 0.000  1.51
I: 0.000 0.000 0.000  -0.03

***

# RuIF2

A geometry-optimized RuIF2 structure (PBE, Alexandria via LeMat-Bulk).

Cell: 4.494 4.494 4.494 Å, 60.00 60.00 60.00°
Last column: magnetic moment on the atom in μB.
Positions (direct):
F: 0.750 0.750 0.750  0.16
F: 0.250 0.250 0.250  0.16
I: 0.500 0.500 0.500  0.17
Ru: 0.000 0.000 0.000  2.87

***

# Ru2IF

A geometry-optimized Ru2IF structure (PBE, Alexandria via LeMat-Bulk).

Cell: 4.382 4.382 4.382 Å, 60.00 60.00 60.00°
Positions (direct):
Ru: 0.250 0.250 0.250
Ru: 0.750 0.750 0.750
F: 0.000 0.000 0.000
I: 0.500 0.500 0.500

***

# Ru2IF

A geometry-optimized Ru2IF structure (PBE, Alexandria via LeMat-Bulk).

Cell: 6.663 6.663 5.528 Å, 52.94 52.94 90.00°
Last column: magnetic moment on the atom in μB.
Positions (direct):
Ru: 0.591 0.125 0.250  0.28
Ru: 0.375 0.409 0.750  0.28
Ru: 0.159 0.625 0.250  0.28
Ru: 0.875 0.841 0.750  0.28
I: 0.000 0.000 0.000  -0.01
I: 0.750 0.250 0.500  -0.01
F: 0.500 0.500 0.000  0.01
F: 0.250 0.750 0.500  0.01

***

# RuI3F

A geometry-optimized RuI3F structure (PBE, Alexandria via LeMat-Bulk).

Cell: 5.384 5.384 5.384 Å, 90.00 90.00 90.00°
Last column: magnetic moment on the atom in μB.
Positions (direct):
F: 0.500 0.500 0.500  0.33
I: 0.000 0.500 0.000  0.26
I: 0.000 0.000 0.500  0.10
I: 0.500 0.000 0.000  0.46
Ru: 0.000 0.000 0.000  1.45

***

# Ru3IF

A geometry-optimized Ru3IF structure (PBE, Alexandria via LeMat-Bulk).

Cell: 4.329 4.329 4.329 Å, 90.00 90.00 90.00°
Positions (direct):
Ru: 0.500 0.000 0.000
Ru: 0.000 0.000 0.500
Ru: 0.000 0.500 0.000
I: 0.500 0.500 0.500
F: 0.000 0.000 0.000

***

# RuIF2

A geometry-optimized RuIF2 structure (PBE, Alexandria via LeMat-Bulk).

Cell: 4.876 4.876 7.789 Å, 71.76 71.76 90.00°
Last column: magnetic moment on the atom in μB.
Positions (direct):
F: 0.875 0.654 0.750  0.23
F: 0.346 0.625 0.250  0.21
F: 0.404 0.125 0.250  0.21
F: 0.375 0.596 0.750  0.23
I: 0.000 0.000 0.000  0.46
I: 0.750 0.250 0.500  0.46
Ru: 0.500 0.500 0.000  3.60
Ru: 0.250 0.750 0.500  3.60

***

# RuIF2

A geometry-optimized RuIF2 structure (PBE, Alexandria via LeMat-Bulk).

Cell: 10.137 10.137 10.137 Å, 17.57 17.57 17.57°
Last column: magnetic moment on the atom in μB.
Positions (direct):
I: 0.500 0.500 0.500  -0.02
F: 0.063 0.063 0.063  0.20
F: 0.937 0.937 0.937  0.20
Ru: 0.000 0.000 0.000  2.10

***

# RuI3F

A geometry-optimized RuI3F structure (PBE, Alexandria via LeMat-Bulk).

Cell: 5.279 5.279 5.279 Å, 90.00 90.00 90.00°
Last column: magnetic moment on the atom in μB.
Positions (direct):
F: 0.000 0.000 0.000  0.13
I: 0.500 0.000 0.000  0.20
I: 0.000 0.500 0.000  0.27
I: 0.000 0.000 0.500  0.24
Ru: 0.500 0.500 0.500  2.80

***

# Sb2RuIF

A geometry-optimized Sb2RuIF structure (PBE, Alexandria via LeMat-Bulk).

Cell: 4.599 4.599 5.440 Å, 90.00 90.00 90.00°
Positions (direct):
F: 0.000 0.000 0.000
Ru: 0.500 0.500 0.500
I: 0.000 0.000 0.500
Sb: 0.000 0.500 0.000
Sb: 0.500 0.000 0.000

***

Size of the total moment / μB per cell: 1.9 0.1 4.8 3.6 0.0 1.2 3.1 0.0 10.0 2.6 4.2 0.0
Uncorrected formation energy / eV per atom: 0.490 0.108 1.755 0.006 0.353 0.577 0.232 1.279 -0.317 -0.576 0.943 0.529